VASP calculation (PBE) on a relaxed structure of Ac5Pd2PtO.

a b c (Å): 4.2827 19.0705 13.6116
angles (deg): 90.00 90.00 90.00
Space group Cmc2_1 (No. 36)
Asymmetric unit:
Ac  0.0000  0.0007  0.0000 x4
Ac  0.0000  0.1430  0.2567 x4
Ac  0.0000  0.1880  0.6063 x4
Ac  0.0000  0.1999  0.9187 x4
Ac  0.0000  0.4599  0.2376 x4
Pd  0.0000  0.3759  0.9340 x4
Pd  0.0000  0.3823  0.5780 x4
Pt  0.0000  0.2997  0.2634 x4
O  0.0000  0.0589  0.6563 x4

Calculated values
D(E_F) = 24.2 states/eV/cell
raw formation energy = -1035.1 kJ/mol of formula units

---

VASP calculation (PBE) on a relaxed structure of AcPdPtO4.

a b c (Å): 5.8700 6.0740 11.7502
angles (deg): 90.00 90.00 90.00
Space group Imma (No. 74)
Asymmetric unit:
Ac  0.0000  0.2500  0.1538 x4
Pd  0.2500  0.2500  0.7500 x4
Pt  0.0000  0.0000  0.5000 x4
O  0.0000  0.0009  0.3227 x8
O  0.2303  0.2500  0.4995 x8

Calculated values
D(E_F) = 1.3 states/eV/cell
raw formation energy = -838.3 kJ/mol of formula units

---

VASP calculation (PBE) on a relaxed structure of Ac2PuPd3O12.

a b c (Å): 7.0096 7.0096 18.0553
angles (deg): 90.00 90.00 120.00
Space group R-3m (No. 166, hexagonal axes)
Asymmetric unit:
Ac  0.0000  0.0000  0.0999 x6
Pu  0.0000  0.0000  0.5000 x3
Pd  0.0000  0.5000  0.0000 x9
O  0.0240  0.5120  0.3587 x18
O  0.0390  0.5195  0.1109 x18

Calculated values
D(E_F) = 16.1 states/eV/cell
raw formation energy = -2619.4 kJ/mol of formula units

---

VASP calculation (PBE) on a relaxed structure of AcPuPd2O8.

a b c (Å): 7.1677 7.1677 7.1904
angles (deg): 90.00 90.00 90.00
Space group I-4m2 (No. 119)
Asymmetric unit:
Ac  0.0000  0.0000  0.0000 x2
Pu  0.0000  0.5000  0.7500 x2
Pd  0.0000  0.0000  0.5000 x2
Pd  0.0000  0.5000  0.2500 x2
O  0.0000  0.2212  0.6974 x8
O  0.0000  0.3366  0.0388 x8

Calculated values
D(E_F) = 14.3 states/eV/cell
raw formation energy = -1626.3 kJ/mol of formula units